Density functional theory data (GGA-PBE) for MgUMnTc after structural relaxation.

Output
* DFT formation energy: 64 kJ/mol of formula units
* D(E_F): 6.126 states/eV/cell
* final energy: -31.759 eV/cell

abc: 4.5678 4.5678 4.5678
angles: 60.00 60.00 60.00
Fractional positions:
Mg 0.0000 0.0000 0.0000
U 0.5000 0.5000 0.5000
Mn 0.2500 0.2500 0.2500
Tc 0.7500 0.7500 0.7500

***

Density functional theory data (GGA-PBE) for MgMnTcW after structural relaxation.

Output
* DFT formation energy: 56 kJ/mol of formula units
* D(E_F): 2.670 states/eV/cell
* final energy: -33.507 eV/cell

abc: 4.3700 4.3700 4.3700
angles: 60.00 60.00 60.00
Fractional positions:
Mg 0.0000 0.0000 0.0000
Mn 0.7500 0.7500 0.7500
Tc 0.2500 0.2500 0.2500
W 0.5000 0.5000 0.5000

***

- The highest D(E_F) belongs to which entry?
  MgUMnTc

***

- Among the records above, which one has the highest D(E_F)?
  MgUMnTc